<P>
5
Lattice="5.462 0.000 0.000 0.000 5.462 0.000 0.000 0.000 5.384" Properties=species:S:1:pos:R:3 comment="FeTeSI2, relaxed, DFT PBE-GGA" vol_a3_per_cell=160.6 pbc="T T T"
S 0.000 0.000 0.000
I 2.731 0.000 0.000
Te 0.000 0.000 2.692
Fe 2.731 2.731 2.692
I 0.000 2.731 0.000



<Q>
5
Lattice="5.212 0.000 0.000 0.000 5.212 0.000 0.000 0.000 4.890" Properties=species:S:1:pos:R:3 comment="FeTeSI2, relaxed, DFT PBE-GGA" vol_a3_per_cell=132.8 pbc="T T T"
I 0.000 2.606 0.000
S 2.606 2.606 2.445
I 2.606 0.000 0.000
Fe 0.000 0.000 0.000
Te 0.000 0.000 2.445



What should be chosen as the least stable of them? Choose <P>.



<P>
10
Lattice="7.170 0.000 0.000 0.000 7.170 0.000 0.000 0.000 6.006" Properties=species:S:1:pos:R:3 comment="FeSb2I2, relaxed, DFT PBE-GGA" vol_a3_per_cell=308.8 pbc="T T T"
I 4.949 1.364 3.003
Sb 1.096 2.489 0.000
I 2.221 5.806 3.003
Sb 2.489 6.074 0.000
Sb 4.681 1.096 0.000
I 5.806 4.949 3.003
Fe 0.000 0.000 0.000
Sb 6.074 4.681 0.000
Fe 3.585 3.585 0.000
I 1.364 2.221 3.003



<Q>
5
Lattice="5.217 0.000 0.000 0.000 5.217 0.000 2.608 2.608 6.722" Properties=species:S:1:pos:R:3 comment="FeSb2I2, relaxed, DFT PBE-GGA" vol_a3_per_cell=182.9 pbc="T T T"
Sb 5.217 5.217 5.359
Sb 2.608 2.608 1.364
Fe 0.000 0.000 0.000
I 5.217 2.608 3.361
I 2.608 5.217 3.361



What should be chosen as the least stable of them? Choose <Q>.



<P>
4
Lattice="0.000 3.770 3.770 3.770 0.000 3.770 3.770 3.770 0.000" Properties=species:S:1:pos:R:3 comment="FeSbI2, relaxed, DFT PBE-GGA" vol_a3_per_cell=107.2 pbc="T T T"
Fe 0.000 0.000 0.000
I 5.655 5.655 5.655
I 1.885 1.885 1.885
Sb 3.770 3.770 3.770



<Q>
8
Lattice="7.565 0.000 0.000 0.000 7.565 0.000 3.782 3.782 5.360" Properties=species:S:1:pos:R:3 comment="FeSbI2, relaxed, DFT PBE-GGA" vol_a3_per_cell=306.8 pbc="T T T"
I 9.456 8.761 4.020
Sb 0.000 0.000 0.000
I 4.978 1.891 1.340
I 2.587 5.674 1.340
Fe 3.782 7.565 2.680
I 5.674 6.369 4.020
Sb 7.565 3.782 2.680
Fe 3.782 3.782 0.000



What should be chosen as the least stable of them? Choose <P>.